(1)
A relaxed structure of NaSrCl2. Source: Alexandria, functional GGA-PBE.

abc: 10.023 10.023 10.023
angles: 25.44 25.44 25.44
Fractional coordinates of all 4 atoms:
Na: 0.000 0.000 0.000
Sr: 0.500 0.500 0.500
Cl: 0.118 0.118 0.118
Cl: 0.882 0.882 0.882

* excess energy over the best structure of this formula in the dataset: 0.00 eV per formula unit
* crystal system: trigonal
* uncorrected formation energy: -1.734 eV/atom
* uncorrected energy: -3.41 eV/atom
* space group: R-3m, No. 166

(2)
A relaxed structure of BaLa4Mg. Source: Alexandria, functional GGA-PBE.

abc: 6.919 6.919 6.919
angles: 60.00 60.00 60.00
Fractional coordinates of all 6 atoms:
Ba: 0.000 0.000 0.000
La: 0.139 0.620 0.620
La: 0.620 0.139 0.620
La: 0.620 0.620 0.139
La: 0.620 0.620 0.620
Mg: 0.250 0.250 0.250

* crystal system: cubic
* uncorrected energy: -3.63 eV/atom
* formation energy: 0.2422 eV per atom
* space group: F-43m, No. 216

(3)
A relaxed structure of KNdTlHg. Source: Alexandria, functional GGA-PBE.

abc: 5.598 5.598 5.598
angles: 60.00 60.00 60.00
Fractional coordinates of all 4 atoms:
K: 0.000 0.000 0.000
Nd: 0.500 0.500 0.500
Tl: 0.750 0.750 0.750
Hg: 0.250 0.250 0.250

* crystal system: cubic
* uncorrected energy: -2.29 eV/atom
* formation energy: -0.1568 eV per atom
* space group: F-43m, No. 216

(4)
A relaxed structure of CaLaMg2Pd. Source: Alexandria, functional GGA-PBE.

abc: 5.179 5.179 5.308
angles: 90.00 90.00 90.00
Fractional coordinates of all 5 atoms:
Ca: 0.000 0.000 0.000
La: 0.500 0.500 0.000
Mg: 0.000 0.500 0.500
Mg: 0.500 0.000 0.500
Pd: 0.000 0.000 0.500

* excess energy over the best structure of this formula in the dataset: 0.34 eV per formula unit
* crystal system: tetragonal
* uncorrected energy: -3.29 eV/atom
* formation energy: -0.2236 eV per atom
* space group: P4/mmm, No. 123

(5)
A relaxed structure of Ta4ReBr. Source: Alexandria, functional GGA-PBE.

abc: 5.439 5.439 5.439
angles: 60.00 60.00 60.00
Fractional coordinates of all 6 atoms:
Ta: 0.376 0.376 0.376
Ta: 0.376 0.376 0.873
Ta: 0.376 0.873 0.376
Ta: 0.873 0.376 0.376
Re: 0.750 0.750 0.750
Br: 0.000 0.000 0.000

* crystal system: cubic
* uncorrected formation energy: 0.910 eV/atom
* uncorrected energy: -9.34 eV/atom
* space group: F-43m, No. 216

(6)
A relaxed structure of AcTlBi2O4. Source: Alexandria, functional GGA-PBE.

abc: 4.256 4.256 8.799
angles: 90.00 90.00 90.00
Fractional coordinates of all 8 atoms:
Ac: 0.000 0.000 0.000
Tl: 0.000 0.000 0.500
Bi: 0.500 0.500 0.282
Bi: 0.500 0.500 0.718
O: 0.000 0.500 0.176
O: 0.000 0.500 0.824
O: 0.500 0.000 0.176
O: 0.500 0.000 0.824

* crystal system: tetragonal
* uncorrected formation energy: -1.595 eV/atom
* uncorrected energy: -5.85 eV/atom
* space group: P4/mmm, No. 123

> Which value of uncorrected energy does entry 1 give?

-3.41 eV/atom

What did the sixth record say?
A relaxed structure of AcTlBi2O4. Source: Alexandria, functional GGA-PBE.

abc: 4.256 4.256 8.799
angles: 90.00 90.00 90.00
Fractional coordinates of all 8 atoms:
Ac: 0.000 0.000 0.000
Tl: 0.000 0.000 0.500
Bi: 0.500 0.500 0.282
Bi: 0.500 0.500 0.718
O: 0.000 0.500 0.176
O: 0.000 0.500 0.824
O: 0.500 0.000 0.176
O: 0.500 0.000 0.824

* crystal system: tetragonal
* uncorrected formation energy: -1.595 eV/atom
* uncorrected energy: -5.85 eV/atom
* space group: P4/mmm, No. 123

> The highest uncorrected energy belongs to which entry?

KNdTlHg